1.
# Lu2MgH

Lu2MgH after structural relaxation (PBE, Alexandria via LeMat-Bulk). Values from VASP.

Properties
- Crystal system: trigonal
- E: -3.659 eV per atom

The structure in Quantum ESPRESSO input format:
```
&SYSTEM
  ibrav = 0, nat = 4, ntyp = 3
/
ATOMIC_SPECIES
Lu 174.97 Lu.upf
Mg 24.30 Mg.upf
H 1.01 H.upf
CELL_PARAMETERS angstrom
1.742 1.006 7.917
-1.742 1.006 7.917
0.000 -2.011 7.917
ATOMIC_POSITIONS crystal
Lu 0.222 0.222 0.222
Lu 0.778 0.778 0.778
Mg 0.000 0.000 0.000
H 0.500 0.500 0.500
```

---

2.
# BeZnTe

BeZnTe after structural relaxation (PBE, Alexandria via LeMat-Bulk). Values from VASP.

Properties
- Distance to the lowest polymorph of the same formula: 1.21 eV/f.u.
- Crystal system: orthorhombic
- E_form (uncorrected): 0.4553 eV/atom
- E: -2.259 eV per atom

The structure in Quantum ESPRESSO input format:
```
&SYSTEM
  ibrav = 0, nat = 3, ntyp = 3
/
ATOMIC_SPECIES
Be 9.01 Be.upf
Zn 65.41 Zn.upf
Te 127.60 Te.upf
CELL_PARAMETERS angstrom
0.000 2.779 5.897
1.866 0.000 5.897
1.866 2.779 0.000
ATOMIC_POSITIONS crystal
Be 0.000 0.000 0.000
Zn 0.367 0.367 0.633
Te 0.636 0.636 0.364
```

---

3.
# Tm3SbS2

Tm3SbS2 after structural relaxation (PBE, Alexandria via LeMat-Bulk). Values from VASP.

Properties
- Distance to the lowest polymorph of the same formula: 0.54 eV/f.u.
- Crystal system: orthorhombic
- E_form (uncorrected): -1.2500 eV/atom
- E: -5.549 eV per atom

The structure in Quantum ESPRESSO input format:
```
&SYSTEM
  ibrav = 0, nat = 12, ntyp = 3
/
ATOMIC_SPECIES
Tm 168.93 Tm.upf
Sb 121.76 Sb.upf
S 32.06 S.upf
CELL_PARAMETERS angstrom
-3.533 5.283 4.313
3.533 -5.283 4.313
3.533 5.283 -4.313
ATOMIC_POSITIONS crystal
Tm 0.000 0.229 0.229
Tm 0.000 0.771 0.771
Tm 0.500 0.000 0.000
Tm 0.500 0.229 0.729
Tm 0.500 0.500 0.500
Tm 0.500 0.771 0.271
Sb 0.187 0.937 0.250
Sb 0.813 0.063 0.750
S 0.262 0.704 0.558
S 0.354 0.296 0.058
S 0.646 0.704 0.942
S 0.738 0.296 0.442
```

---

4.
# Y2NpPbO8

Y2NpPbO8 after structural relaxation (PBE, Alexandria via LeMat-Bulk). Values from VASP.

Properties
- Crystal system: orthorhombic
- E_form (uncorrected): -2.6080 eV/atom
- E: -8.378 eV per atom

The structure in Quantum ESPRESSO input format:
```
&SYSTEM
  ibrav = 0, nat = 12, ntyp = 4
/
ATOMIC_SPECIES
Y 88.91 Y.upf
Np 237.00 Np.upf
Pb 207.20 Pb.upf
O 16.00 O.upf
CELL_PARAMETERS angstrom
3.500 -3.664 0.000
3.500 3.664 0.000
0.000 0.000 7.020
ATOMIC_POSITIONS crystal
Y 0.000 0.000 0.250
Y 0.000 0.000 0.750
Np 0.500 0.500 0.000
Pb 0.500 0.500 0.500
O 0.203 0.203 0.500
O 0.208 0.208 0.000
O 0.313 0.687 0.230
O 0.313 0.687 0.770
O 0.687 0.313 0.230
O 0.687 0.313 0.770
O 0.792 0.792 0.000
O 0.797 0.797 0.500
```

---

5.
# CaTb3In4

CaTb3In4 after structural relaxation (PBE, Alexandria via LeMat-Bulk). Values from VASP.

Properties
- Crystal system: tetragonal
- Energy of formation: -363.0 kJ/mol of formula units
- E: -3.826 eV per atom

The structure in Quantum ESPRESSO input format:
```
&SYSTEM
  ibrav = 0, nat = 8, ntyp = 3
/
ATOMIC_SPECIES
Ca 40.08 Ca.upf
Tb 158.93 Tb.upf
In 114.82 In.upf
CELL_PARAMETERS angstrom
3.805 0.000 0.000
0.000 3.805 0.000
0.000 0.000 15.136
ATOMIC_POSITIONS crystal
Ca 0.000 0.000 0.000
Tb 0.000 0.000 0.252
Tb 0.000 0.000 0.500
Tb 0.000 0.000 0.748
In 0.500 0.500 0.130
In 0.500 0.500 0.377
In 0.500 0.500 0.623
In 0.500 0.500 0.870
```

---

6.
# PIrBrO2

PIrBrO2 after structural relaxation (PBE, Alexandria via LeMat-Bulk). Values from VASP.

Properties
- Distance to the lowest polymorph of the same formula: 5.68 eV/f.u.
- Crystal system: tetragonal
- E_form (uncorrected): 1.0156 eV/atom
- E: -4.156 eV per atom

The structure in Quantum ESPRESSO input format:
```
&SYSTEM
  ibrav = 0, nat = 5, ntyp = 4
/
ATOMIC_SPECIES
P 30.97 P.upf
Ir 192.22 Ir.upf
Br 79.90 Br.upf
O 16.00 O.upf
CELL_PARAMETERS angstrom
3.602 0.000 0.000
0.000 3.602 0.000
0.000 0.000 7.084
ATOMIC_POSITIONS crystal
P 0.000 0.000 0.000
Ir 0.500 0.500 0.000
Br 0.000 0.000 0.500
O 0.000 0.500 0.500
O 0.500 0.000 0.500
```

---

7.
# CaRuRh

CaRuRh after structural relaxation (PBE, Alexandria via LeMat-Bulk). Values from VASP.

Properties
- Distance to the lowest polymorph of the same formula: 0.43 eV/f.u.
- Crystal system: monoclinic
- Energy of formation: -4.7 kJ/mol of formula units
- E: -6.226 eV per atom

The structure in Quantum ESPRESSO input format:
```
&SYSTEM
  ibrav = 0, nat = 6, ntyp = 3
/
ATOMIC_SPECIES
Ca 40.08 Ca.upf
Ru 101.07 Ru.upf
Rh 102.91 Rh.upf
CELL_PARAMETERS angstrom
5.320 0.000 0.000
0.000 4.218 0.000
-1.317 0.000 5.443
ATOMIC_POSITIONS crystal
Ca 0.000 0.000 0.000
Ca 0.476 0.500 0.870
Ru 0.347 0.500 0.359
Ru 0.855 0.500 0.384
Rh 0.139 0.000 0.523
Rh 0.629 0.000 0.489
```

---

8.
# HoTh2InN5

HoTh2InN5 after structural relaxation (PBE, Alexandria via LeMat-Bulk). Values from VASP.

Properties
- Crystal system: orthorhombic
- E_form (uncorrected): -0.9776 eV/atom
- E: -8.065 eV per atom

The structure in Quantum ESPRESSO input format:
```
&SYSTEM
  ibrav = 0, nat = 18, ntyp = 4
/
ATOMIC_SPECIES
Ho 164.93 Ho.upf
Th 232.04 Th.upf
In 114.82 In.upf
N 14.01 N.upf
CELL_PARAMETERS angstrom
1.789 -7.040 0.000
1.789 7.040 0.000
0.000 0.000 11.138
ATOMIC_POSITIONS crystal
Ho 0.216 0.784 0.500
Ho 0.784 0.216 0.000
Th 0.123 0.877 0.204
Th 0.132 0.868 0.773
Th 0.868 0.132 0.273
Th 0.877 0.123 0.704
In 0.487 0.513 0.988
In 0.513 0.487 0.488
N 0.060 0.940 0.575
N 0.290 0.710 0.161
N 0.294 0.706 0.855
N 0.367 0.633 0.561
N 0.490 0.510 0.293
N 0.510 0.490 0.793
N 0.633 0.367 0.061
N 0.706 0.294 0.355
N 0.710 0.290 0.661
N 0.940 0.060 0.075
```

---

9.
# CaPmDyZn

CaPmDyZn after structural relaxation (PBE, Alexandria via LeMat-Bulk). Values from VASP.

Properties
- Crystal system: tetragonal
- Energy of formation: -47.7 kJ/mol of formula units
- E: -3.281 eV per atom

The structure in Quantum ESPRESSO input format:
```
&SYSTEM
  ibrav = 0, nat = 4, ntyp = 4
/
ATOMIC_SPECIES
Ca 40.08 Ca.upf
Pm 145.00 Pm.upf
Dy 162.50 Dy.upf
Zn 65.41 Zn.upf
CELL_PARAMETERS angstrom
3.582 0.000 0.000
0.000 3.582 0.000
0.000 0.000 9.218
ATOMIC_POSITIONS crystal
Ca 0.000 0.000 0.000
Pm 0.500 0.500 0.674
Dy 0.000 0.000 0.399
Zn 0.500 0.500 0.213
```

---

10.
# LaMg2InH

LaMg2InH after structural relaxation (PBE, Alexandria via LeMat-Bulk). Values from VASP.

Properties
- Crystal system: tetragonal
- E: -3.153 eV per atom

The structure in Quantum ESPRESSO input format:
```
&SYSTEM
  ibrav = 0, nat = 5, ntyp = 4
/
ATOMIC_SPECIES
La 138.91 La.upf
Mg 24.30 Mg.upf
In 114.82 In.upf
H 1.01 H.upf
CELL_PARAMETERS angstrom
4.751 0.000 0.000
0.000 4.751 0.000
0.000 0.000 4.732
ATOMIC_POSITIONS crystal
La 0.000 0.000 0.000
Mg 0.000 0.500 0.500
Mg 0.500 0.000 0.500
In 0.500 0.500 0.000
H 0.000 0.000 0.500
```

---

11.
# GdYCuGe

GdYCuGe after structural relaxation (PBE, Alexandria via LeMat-Bulk). Values from VASP.

Properties
- Crystal system: cubic
- Energy of formation: -196.7 kJ/mol of formula units
- E: -7.824 eV per atom

The structure in Quantum ESPRESSO input format:
```
&SYSTEM
  ibrav = 0, nat = 4, ntyp = 4
/
ATOMIC_SPECIES
Gd 157.25 Gd.upf
Y 88.91 Y.upf
Cu 63.55 Cu.upf
Ge 72.64 Ge.upf
CELL_PARAMETERS angstrom
0.000 3.539 3.539
3.539 0.000 3.539
3.539 3.539 0.000
ATOMIC_POSITIONS crystal
Gd 0.000 0.000 0.000
Y 0.500 0.500 0.500
Cu 0.750 0.750 0.750
Ge 0.250 0.250 0.250
```

---

12.
# KCa2V

KCa2V after structural relaxation (PBE, Alexandria via LeMat-Bulk). Values from VASP.

Properties
- Distance to the lowest polymorph of the same formula: 0.56 eV/f.u.
- Crystal system: tetragonal
- Energy of formation: 319.7 kJ/mol of formula units
- E: -2.727 eV per atom

The structure in Quantum ESPRESSO input format:
```
&SYSTEM
  ibrav = 0, nat = 8, ntyp = 3
/
ATOMIC_SPECIES
K 39.10 K.upf
Ca 40.08 Ca.upf
V 50.94 V.upf
CELL_PARAMETERS angstrom
-4.690 4.690 3.728
4.690 -4.690 3.728
4.690 4.690 -3.728
ATOMIC_POSITIONS crystal
K 0.000 0.000 0.000
K 0.750 0.250 0.500
Ca 0.182 0.625 0.057
Ca 0.375 0.432 0.557
Ca 0.568 0.125 0.943
Ca 0.875 0.818 0.443
V 0.250 0.750 0.500
V 0.500 0.500 0.000
```

---

What did the ninth record say?
# CaPmDyZn

CaPmDyZn after structural relaxation (PBE, Alexandria via LeMat-Bulk). Values from VASP.

Properties
- Crystal system: tetragonal
- Energy of formation: -47.7 kJ/mol of formula units
- E: -3.281 eV per atom

The structure in Quantum ESPRESSO input format:
```
&SYSTEM
  ibrav = 0, nat = 4, ntyp = 4
/
ATOMIC_SPECIES
Ca 40.08 Ca.upf
Pm 145.00 Pm.upf
Dy 162.50 Dy.upf
Zn 65.41 Zn.upf
CELL_PARAMETERS angstrom
3.582 0.000 0.000
0.000 3.582 0.000
0.000 0.000 9.218
ATOMIC_POSITIONS crystal
Ca 0.000 0.000 0.000
Pm 0.500 0.500 0.674
Dy 0.000 0.000 0.399
Zn 0.500 0.500 0.213
```

---

What is the formula in the eleventh record?
GdYCuGe

---

Which of these has the lowest E?
Y2NpPbO8